Ba4Cd2Au: optimized geometry, GGA-PBE.

Values from the calculation:
- energy of formation (eV per atom) = -0.2565
- D(E_F) (states/eV/atom) = 1.3178
- relative energy among the computed polymorphs (kJ/mol of formula units) = 53
- DFT total energy (eV/atom) = -2.0848
- symmetry = I4/mmm (139)

Geometry as POSCAR:
```
Ba4Cd2Au
1.0
6.391 0.000 0.000
0.000 6.391 0.000
-3.196 -3.196 8.451
Cd Au Ba
2 1 4
Cartesian
0.000 0.000 6.828
3.196 3.196 1.623
0.000 0.000 0.000
3.196 0.000 0.000
3.196 3.196 5.134
0.000 0.000 3.317
0.000 3.196 0.000
```